(1)
## CeThPt2 (PBE)

Data for a relaxed structure of CeThPt2.

a b c (Å): 5.0870 5.0870 5.0870
angles (deg): 60.00 60.00 60.00
With the nearest neighbours (Å) after each atom.
Fractional positions:
Ce 0.5000 0.5000 0.5000  8 Pt 3.12
Pt 0.2500 0.2500 0.2500  4 Ce 3.12, 4 Th 3.12
Pt 0.7500 0.7500 0.7500  4 Ce 3.12, 4 Th 3.12
Th 0.0000 0.0000 0.0000  8 Pt 3.12

Computed properties:
**Formation enthalpy at 0 K**: -0.994 eV/atom
**E above lowest polymorph**: 172.7 meV/atom

=====

(2)
## Sr3Ag2Au (PBE)

Data for a relaxed structure of Sr3Ag2Au.

a b c (Å): 3.9281 5.5007 8.6667
angles (deg): 108.50 90.00 90.00
With the nearest neighbours (Å) after each atom.
Fractional positions:
Sr 0.5000 0.5000 0.0000  4 Au 3.38, 4 Ag 3.44
Sr 0.5000 0.8383 0.6767  2 Au 3.30, 6 Ag 3.36-3.38
Sr 0.5000 0.1617 0.3233  2 Au 3.30, 6 Ag 3.36-3.38
Ag 0.0000 0.3279 0.6558  8 Sr 3.36-3.44, 2 Ag 3.76
Ag 0.0000 0.6721 0.3442  8 Sr 3.36-3.44, 2 Ag 3.76
Au 0.0000 0.0000 0.0000  8 Sr 3.30-3.38

Computed properties:
**Formation enthalpy at 0 K**: -0.424 eV/atom

=====

(3)
## AcNi3Ge (PBE)

Data for a relaxed structure of AcNi3Ge.

a b c (Å): 4.5413 6.4265 6.4279
angles (deg): 90.00 90.00 90.00
With the nearest neighbours (Å) after each atom.
Fractional positions:
Ac 0.5000 0.0000 0.0000  12 Ni 3.21
Ac 0.5000 0.5000 0.5000  12 Ni 3.21
Ni 0.5000 0.5000 0.0000  2 Ge 2.27
Ni 0.5000 0.0000 0.5000  2 Ge 2.27
Ni 0.0000 0.7500 0.2500  2 Ge 2.27
Ni 0.0000 0.2500 0.2500  2 Ge 2.27
Ni 0.0000 0.2500 0.7500  2 Ge 2.27
Ni 0.0000 0.7500 0.7500  2 Ge 2.27
Ge 0.0000 0.5000 0.0000  6 Ni 2.27
Ge 0.0000 0.0000 0.5000  6 Ni 2.27

Computed properties:
**Formation enthalpy at 0 K**: -0.154 eV/atom
**E above lowest polymorph**: 258.8 meV/atom